Entry 1:
A geometry-optimized Ti2ZnReSb structure. Source: Alexandria via LeMat-Bulk, functional GGA-PBE. Values from VASP.

Summary:
E_form (uncorrected): 1.528 eV/atom
Total energy: -5.199 eV per atom

```
&SYSTEM
  ibrav = 0, nat = 5, ntyp = 4
/
ATOMIC_SPECIES
Ti 47.87 Ti.upf
Zn 65.41 Zn.upf
Re 186.21 Re.upf
Sb 121.76 Sb.upf
ATOMIC_POSITIONS angstrom
Ti 0.0000 2.4882 0.0000
Ti 2.4882 0.0000 0.0000
Zn 0.0000 0.0000 2.3351
Re 2.4882 2.4882 2.3351
Sb 0.0000 0.0000 0.0000
CELL_PARAMETERS angstrom
4.9764 0.0000 0.0000
0.0000 4.9764 0.0000
0.0000 0.0000 4.6702
```

Entry 2:
A geometry-optimized K2CuW structure. Source: Alexandria via LeMat-Bulk, functional GGA-PBE. Values from VASP.

Summary:
Formation energy from the elements: 1.6311 eV/atom
Total energy: -3.180 eV per atom

```
&SYSTEM
  ibrav = 0, nat = 4, ntyp = 3
/
ATOMIC_SPECIES
K 39.10 K.upf
Cu 63.55 Cu.upf
W 183.84 W.upf
ATOMIC_POSITIONS angstrom
K 0.0000 2.0533 0.0000
K 2.0533 0.0000 0.0000
Cu 0.0000 0.0000 2.8555
W 2.0533 2.0533 2.8555
CELL_PARAMETERS angstrom
4.1065 0.0000 0.0000
0.0000 4.1065 0.0000
0.0000 0.0000 5.7111
```

Entry 3:
A geometry-optimized HfScIr4 structure. Source: Alexandria via LeMat-Bulk, functional GGA-PBE. Values from VASP.

Summary:
Formation energy from the elements: -0.7057 eV/atom
Total energy: -9.327 eV per atom

```
&SYSTEM
  ibrav = 0, nat = 6, ntyp = 3
/
ATOMIC_SPECIES
Hf 178.49 Hf.upf
Sc 44.96 Sc.upf
Ir 192.22 Ir.upf
ATOMIC_POSITIONS angstrom
Hf 0.0000 0.0000 0.0000
Sc 1.8496 1.8496 1.8496
Ir 4.6219 2.7764 2.7764
Ir 2.7764 4.6219 2.7764
Ir 2.7764 2.7764 4.6219
Ir 4.6219 4.6219 4.6219
CELL_PARAMETERS angstrom
0.0000 3.6992 3.6992
3.6992 0.0000 3.6992
3.6992 3.6992 0.0000
```

Entry 4:
A geometry-optimized LaTbNd2Ho structure. Source: Alexandria via LeMat-Bulk, functional GGA-PBE. Values from VASP.

Summary:
Formation energy from the elements: 0.2736 eV/atom
Total energy: -4.461 eV per atom

```
&SYSTEM
  ibrav = 0, nat = 10, ntyp = 4
/
ATOMIC_SPECIES
La 138.91 La.upf
Tb 158.93 Tb.upf
Nd 144.24 Nd.upf
Ho 164.93 Ho.upf
ATOMIC_POSITIONS angstrom
La 0.0000 0.0000 0.0000
La -0.3971 0.0000 3.1362
Tb -0.1985 2.8846 1.5681
Tb -0.5956 3.6815 4.7042
Nd 2.1170 2.0509 4.4459
Nd 2.5141 4.5152 1.3098
Nd 5.2726 2.0509 4.9625
Nd 5.6697 4.5152 1.8264
Ho 4.0919 1.0821 1.5681
Ho 3.6948 5.4841 4.7042
CELL_PARAMETERS angstrom
8.5809 0.0000 0.0000
0.0000 6.5661 0.0000
-0.7942 0.0000 6.2723
```

Entry 5:
A geometry-optimized NaCd2Co2 structure. Source: Alexandria via LeMat-Bulk, functional GGA-PBE. Values from VASP.

Summary:
Formation energy from the elements: 0.2792 eV/atom
Total energy: -3.193 eV per atom

```
&SYSTEM
  ibrav = 0, nat = 10, ntyp = 3
/
ATOMIC_SPECIES
Na 22.99 Na.upf
Cd 112.41 Cd.upf
Co 58.93 Co.upf
ATOMIC_POSITIONS angstrom
Na 0.0000 0.0000 0.0000
Na 3.9609 3.9609 0.0000
Cd 1.4942 2.4668 1.4157
Cd 2.4668 6.4277 1.4157
Cd 5.4551 1.4942 1.4157
Cd 6.4277 5.4551 1.4157
Co 0.7954 4.7563 0.0000
Co 3.1656 0.7954 0.0000
Co 4.7563 7.1265 0.0000
Co 7.1265 3.1656 0.0000
CELL_PARAMETERS angstrom
7.9219 0.0000 0.0000
0.0000 7.9219 0.0000
0.0000 0.0000 2.8313
```

Entry 6:
A geometry-optimized BeZnSe2 structure. Source: Alexandria via LeMat-Bulk, functional GGA-PBE. Values from VASP.

Summary:
E_form (uncorrected): -0.494 eV/atom
Total energy: -3.486 eV per atom

```
&SYSTEM
  ibrav = 0, nat = 16, ntyp = 3
/
ATOMIC_SPECIES
Be 9.01 Be.upf
Zn 65.41 Zn.upf
Se 78.96 Se.upf
ATOMIC_POSITIONS angstrom
Be -0.8779 0.4868 3.0911
Be -4.5239 1.3874 9.5038
Be 5.1050 2.3610 3.3217
Be 1.4590 3.2616 9.7344
Zn -6.6069 0.7929 11.9835
Zn -2.9609 1.0813 5.5708
Zn 3.5420 2.6671 7.2547
Zn 7.1880 2.9555 0.8420
Se -0.8683 2.1250 4.5385
Se -4.5144 3.4977 10.9513
Se -2.8338 0.7565 8.0715
Se 0.8122 1.1177 1.6587
Se -0.2311 2.6307 11.1668
Se 3.4150 2.9920 4.7540
Se 5.0955 0.2508 1.8742
Se 1.4495 1.6234 8.2870
CELL_PARAMETERS angstrom
7.8732 0.0000 0.0000
0.0000 3.7484 0.0000
-7.2921 0.0000 12.8255
```